A relaxed TmNi5Ge crystal, computed with PBE-GGA.

Values from the calculation:
mass density = 9.56 g/cm³
DOS(E_F) = 0.859 states/eV/atom
V = 92.9 Å³/f.u.
space group = Pnma
total magnetization = 0.000 μB per cell
formation energy = -397 meV/atom

Unit cell a=7.8068 b=4.8531 c=9.8074 alpha=90.00 beta=90.00 gamma=90.00
Closest atoms and distances in Å follow each position.
Fractional positions:
Tm 0.2477 0.2500 0.0582  11 Ni 2.75-3.05, 1 Ge 3.02
Tm 0.2523 0.7500 0.5582  11 Ni 2.75-3.05, 1 Ge 3.02
Tm 0.7477 0.2500 0.4418  11 Ni 2.75-3.05, 1 Ge 3.02
Tm 0.7523 0.7500 0.9418  11 Ni 2.75-3.05, 1 Ge 3.02
Ni 0.0599 0.7500 0.0851  1 Ge 2.36, 4 Ni 2.47-2.59
Ni 0.0630 0.0059 0.3025  7 Ni 2.36-2.49, 2 Ge 2.56-2.59
Ni 0.0630 0.4941 0.3025  7 Ni 2.36-2.49, 2 Ge 2.56-2.59
Ni 0.0957 0.2500 0.5180  5 Ni 2.44-2.49, 1 Ge 2.55
Ni 0.1865 0.2500 0.7561  7 Ni 2.36-2.59, 2 Ge 2.63
Ni 0.3135 0.7500 0.2561  7 Ni 2.36-2.59, 2 Ge 2.63
Ni 0.4043 0.7500 0.0180  5 Ni 2.44-2.49, 1 Ge 2.55
Ni 0.4370 0.5059 0.8025  7 Ni 2.36-2.49, 2 Ge 2.56-2.59
Ni 0.4370 0.9941 0.8025  7 Ni 2.36-2.49, 2 Ge 2.56-2.59
Ni 0.4401 0.2500 0.5851  1 Ge 2.36, 4 Ni 2.47-2.59
Ni 0.5599 0.7500 0.4149  1 Ge 2.36, 4 Ni 2.47-2.59
Ni 0.5630 0.0059 0.1975  7 Ni 2.36-2.49, 2 Ge 2.56-2.59
Ni 0.5630 0.4941 0.1975  7 Ni 2.36-2.49, 2 Ge 2.56-2.59
Ni 0.5957 0.2500 0.9820  5 Ni 2.44-2.49, 1 Ge 2.55
Ni 0.6865 0.2500 0.7439  7 Ni 2.36-2.59, 2 Ge 2.63
Ni 0.8135 0.7500 0.2439  7 Ni 2.36-2.59, 2 Ge 2.63
Ni 0.9043 0.7500 0.4820  5 Ni 2.44-2.49, 1 Ge 2.55
Ni 0.9370 0.5059 0.6975  7 Ni 2.36-2.49, 2 Ge 2.56-2.59
Ni 0.9370 0.9941 0.6975  7 Ni 2.36-2.49, 2 Ge 2.56-2.59
Ni 0.9401 0.2500 0.9149  1 Ge 2.36, 4 Ni 2.47-2.59
Ge 0.1495 0.7500 0.8550  8 Ni 2.36-2.63
Ge 0.3505 0.2500 0.3550  8 Ni 2.36-2.63
Ge 0.6495 0.7500 0.6450  8 Ni 2.36-2.63
Ge 0.8505 0.2500 0.1450  8 Ni 2.36-2.63